(1)
TiGeMoIr: relaxed, PBE.

Total energy   -8.438 eV/atom
Total moment   0.0 μB per cell
Energy of formation from the pure elements   -387 meV/atom

Cell lengths 4.387, 4.387, 4.387 Å; angles 60.00, 60.00, 60.00 degrees
Fractional positions:
Ti1 0.000 0.000 0.000
Ge1 0.500 0.500 0.500
Mo1 0.250 0.250 0.250
Ir1 0.750 0.750 0.750


(2)
MgIn2Ge2Rh5: relaxed, PBE.

Total energy   -5.629 eV/atom
Total moment   0.0 μB per cell
Energy of formation from the pure elements   -322 meV/atom

Cell lengths 9.733, 9.733, 3.485 Å; angles 90.00, 90.00, 90.00 degrees
Fractional positions:
Mg1 0.000 0.000 0.000
Mg2 0.500 0.500 0.000
In1 0.172 0.328 0.000
In2 0.328 0.828 0.000
In3 0.672 0.172 0.000
In4 0.828 0.672 0.000
Ge1 0.129 0.629 0.000
Ge2 0.371 0.129 0.000
Ge3 0.629 0.871 0.000
Ge4 0.871 0.371 0.000
Rh1 0.000 0.500 0.500
Rh2 0.084 0.799 0.500
Rh3 0.201 0.084 0.500
Rh4 0.299 0.584 0.500
Rh5 0.416 0.299 0.500
Rh6 0.500 0.000 0.500
Rh7 0.584 0.701 0.500
Rh8 0.701 0.416 0.500
Rh9 0.799 0.916 0.500
Rh10 0.916 0.201 0.500


(3)
MnReW: relaxed, PBE.

Polymorph energy (0 for the lowest one)   0.521 eV/atom
Total energy   -10.920 eV/atom
Total moment   0.0 μB per cell
Energy of formation from the pure elements   603 meV/atom

Cell lengths 4.068, 4.068, 4.068 Å; angles 60.00, 60.00, 60.00 degrees
Fractional positions:
Mn1 0.000 0.000 0.000
Re1 0.750 0.750 0.750
W1 0.250 0.250 0.250


(4)
TlSeSN2: relaxed, PBE.

Polymorph energy (0 for the lowest one)   0.664 eV/atom
Uncorrected formation energy   2.029 eV/atom
Total energy   -3.297 eV/atom
Total moment   4.0 μB per cell

Cell lengths 4.274, 4.274, 6.020 Å; angles 90.00, 90.00, 90.00 degrees
Fractional positions:
Tl1 0.000 0.000 0.000
Se1 0.000 0.000 0.500
S1 0.500 0.500 0.500
N1 0.000 0.500 0.000
N2 0.500 0.000 0.000


(5)
ZrTe2Ru: relaxed, PBE.

Polymorph energy (0 for the lowest one)   0.226 eV/atom
Uncorrected formation energy   -0.242 eV/atom
Total energy   -6.269 eV/atom
Total moment   0.0 μB per cell

Cell lengths 5.346, 5.346, 5.147 Å; angles 99.78, 99.78, 39.50 degrees
Fractional positions:
Zr1 0.000 0.000 0.000
Te1 0.255 0.255 0.856
Te2 0.493 0.493 0.451
Ru1 0.718 0.718 0.215


(6)
OsPtSe2: relaxed, PBE.

Polymorph energy (0 for the lowest one)   0.422 eV/atom
Uncorrected formation energy   0.588 eV/atom
Total energy   -5.472 eV/atom
Total moment   0.0 μB per cell

Cell lengths 4.676, 4.676, 4.676 Å; angles 125.58, 125.58, 80.59 degrees
Fractional positions:
Os1 0.000 0.000 0.000
Pt1 0.500 0.500 0.000
Se1 0.250 0.750 0.500
Se2 0.750 0.250 0.500


(7)
P3C: relaxed, PBE.

Polymorph energy (0 for the lowest one)   0.928 eV/atom
Total energy   -5.028 eV/atom
Total moment   0.0 μB per cell
Energy of formation from the pure elements   1336 meV/atom

Cell lengths 16.506, 16.506, 16.506 Å; angles 169.55, 169.55, 14.81 degrees
Fractional positions:
P1 0.000 0.500 0.500
P2 0.126 0.126 0.000
P3 0.250 0.750 0.500
P4 0.500 0.000 0.500
P5 0.750 0.250 0.500
P6 0.874 0.874 0.000
C1 0.374 0.374 0.000
C2 0.626 0.626 0.000


(8)
Li3Ni2H7: relaxed, PBE.

Polymorph energy (0 for the lowest one)   0.027 eV/atom
Total energy   -3.665 eV/atom
Total moment   0.0 μB per cell

Cell lengths 8.866, 8.866, 3.227 Å; angles 90.00, 90.00, 158.84 degrees
Fractional positions:
Li1 0.000 0.000 0.000
Li2 0.167 0.833 0.000
Li3 0.833 0.167 0.000
Ni1 0.406 0.594 0.500
Ni2 0.594 0.406 0.500
H1 0.091 0.909 0.500
H2 0.315 0.685 0.500
H3 0.410 0.590 0.000
H4 0.500 0.500 0.500
H5 0.590 0.410 0.000
H6 0.685 0.315 0.500
H7 0.909 0.091 0.500


(9)
Re2NiAu: relaxed, PBE.

Polymorph energy (0 for the lowest one)   0.150 eV/atom
Total energy   -8.139 eV/atom
Total moment   0.0 μB per cell
Energy of formation from the pure elements   350 meV/atom

Cell lengths 2.671, 2.671, 8.192 Å; angles 90.00, 90.00, 90.00 degrees
Fractional positions:
Re1 0.000 0.000 0.225
Re2 0.000 0.000 0.775
Ni1 0.500 0.500 0.000
Au1 0.500 0.500 0.500


Question: total moment of number 3 (MnReW)?
Answer: 0.0 μB per cell